Record 1
Density functional theory data (PBE) for an optimized crystal structure of KMgAl2Ge.

**Formation energy**: 519.6 meV per atom

Geometry as POSCAR:
```
KMgAl2Ge
1.0
-0.459 2.604 4.604
-5.011 0.875 -0.995
-1.277 -4.539 2.440
Mg Ge K Al
1 1 1 2
Cartesian
0.000 0.000 0.000 Mg
-2.506 0.438 -0.498 Ge
-3.374 -0.530 3.025 K
-0.639 -2.270 1.220 Al
-0.230 1.302 2.302 Al
```


Record 2
Density functional theory data (PBE) for an optimized crystal structure of Tl2AsHS4.

Geometry as POSCAR:
```
Tl2AsHS4
1.0
-3.345 2.944 6.062
-5.712 1.070 -3.745
3.031 -5.635 -0.325
Tl As H S
2 1 1 4
Cartesian
-4.029 -2.704 -1.235 Tl
-0.563 -1.930 0.318 Tl
-5.262 0.238 1.720 As
-3.734 -1.445 3.341 H
-3.809 -1.538 1.983 S
-4.749 1.702 3.244 S
-4.839 0.825 -0.331 S
1.725 -4.441 -0.426 S
```


Record 3
Density functional theory data (PBE) for an optimized crystal structure of Ac2PuGe3Au4.

**Formation energy**: -556.7 meV per atom

Geometry as POSCAR:
```
Ac2PuGe3Au4
1.0
-1.624 -0.156 4.197
-4.196 -0.139 -1.629
0.494 -11.932 -0.253
Ac Pu Ge Au
2 1 3 4
Cartesian
-0.703 -2.727 2.042 Ac
-1.714 -9.353 -1.011 Ac
-2.663 -6.114 1.158 Pu
0.247 -5.966 -0.126 Ge
-0.379 -10.547 1.877 Ge
-2.037 -1.533 -0.846 Ge
-2.910 -0.148 1.284 Au
0.000 0.000 0.000 Au
-0.485 -7.973 1.931 Au
-1.931 -4.106 -0.900 Au
```


Record 4
Density functional theory data (PBE) for an optimized crystal structure of TbTm2Pt4.

**Formation energy**: -1127.1 meV per atom

Geometry as POSCAR:
```
TbTm2Pt4
1.0
-0.929 3.557 2.928
-3.419 -1.017 -3.060
-5.718 -9.295 9.476
Tb Tm Pt
2 4 8
Cartesian
-3.676 -1.186 2.129 Tb
-6.391 -5.568 7.215 Tb
-4.576 -2.457 7.314 Tm
-3.390 -0.884 -1.450 Tm
-6.676 -5.870 10.794 Tm
-5.490 -4.298 2.030 Tm
-7.869 -8.147 6.297 Pt
-6.570 -6.036 4.145 Pt
-2.198 1.392 3.047 Pt
-3.496 -0.719 5.199 Pt
-4.577 -2.841 -0.038 Pt
-5.490 -3.913 9.381 Pt
-2.174 1.270 -0.066 Pt
-5.033 -3.377 4.672 Pt
```


Record 5
Density functional theory data (PBE) for an optimized crystal structure of CsScPSe6.

**Formation energy from raw total energies**: -0.6753 eV/atom

Geometry as POSCAR:
```
CsScPSe6
1.0
-4.424 -2.642 2.929
2.475 -3.096 3.401
-0.222 6.373 7.272
Cs Sc P Se
1 1 1 6
Cartesian
-0.097 -1.092 1.291 Cs
-1.245 -0.290 7.366 Sc
-0.241 1.764 5.787 P
0.700 1.375 3.772 Se
0.817 0.418 9.021 Se
-2.343 1.904 8.381 Se
-2.755 -0.021 9.809 Se
-0.361 -1.630 5.234 Se
-0.681 -2.982 7.152 Se
```


Record 6
Density functional theory data (PBE) for an optimized crystal structure of CuAg2Te.

**Energy relative to the lowest polymorph listed for this composition**: 88 meV/atom
**Formation energy from raw total energies**: 0.1970 eV/atom

Geometry as POSCAR:
```
CuAg2Te
1.0
-0.582 -1.119 3.840
3.144 -2.527 -0.260
7.360 5.428 4.825
Te Cu Ag
2 2 4
Cartesian
0.000 0.000 0.000 Te
4.030 1.243 5.227 Te
1.281 -1.823 1.790 Cu
5.892 0.539 3.177 Cu
1.875 0.353 3.534 Ag
3.726 -0.374 1.563 Ag
6.513 2.678 4.958 Ag
7.730 0.907 6.753 Ag
```


Record 7
Density functional theory data (PBE) for an optimized crystal structure of UAgHgAu.

**Formation energy**: 94.2 meV per atom

Geometry as POSCAR:
```
UAgHgAu
1.0
5.000 0.000 0.000
2.500 4.330 0.000
2.500 1.443 4.082
Au U Hg Ag
1 1 1 1
Cartesian
5.000 2.887 2.041 Au
2.500 1.443 1.021 U
0.000 0.000 0.000 Hg
7.499 4.330 3.062 Ag
```


Record 8
Density functional theory data (PBE) for an optimized crystal structure of Na4TaRh3O8.

**Formation energy from raw total energies**: -1.4259 eV/atom

Geometry as POSCAR:
```
Na4TaRh3O8
1.0
-4.857 3.365 0.121
-2.923 -4.087 -3.645
2.371 -2.005 6.586
Na Ta Rh O
4 1 3 8
Cartesian
-2.428 1.682 0.061 Na
-1.243 0.680 3.354 Na
0.000 0.000 0.000 Na
1.185 -1.003 3.293 Na
-1.461 -2.044 -1.822 Ta
-3.890 -0.361 -1.762 Rh
-2.704 -1.364 1.531 Rh
-0.276 -3.046 1.471 Rh
-3.401 -2.350 -2.187 O
-1.815 -2.624 0.141 O
-1.229 -1.876 2.820 O
-5.937 -0.593 -2.124 O
0.528 -2.134 5.186 O
-4.179 -0.851 0.242 O
-3.594 -0.103 2.922 O
-2.008 -0.377 5.249 O
```


| no. | VASP energy (eV per atom) |
| --- | --- |
| 1 | -2.439 |
| 2 | -3.851 |
| 3 | -5.508 |
| 4 | -6.518 |
| 5 | -4.398 |
| 6 | -3.038 |
| 7 | -4.335 |
| 8 | -6.354 |